GdYAlCo2 | GGA-PBE | relaxed

Its total magnetization is 0.00 μB/f.u. For the calculated total energy, the calculation gives -0.2273 hartree per atom.

It has space group Imm2 (No. 44), with a = 4.0363 Å, b = 5.4603 Å, c = 8.3708 Å, α = 90.00°, β = 90.00° and γ = 90.00°. Symmetry generates all atoms from Gd at (0.0000, 0.0000, 0.0000), Y at (0.0000, 0.0000, 0.5917), Al at (0.0000, 0.5000, 0.7961) and Co at (0.0000, 0.2771, 0.2959).